## NdPt5Pb (PBE)

Data for a relaxed NdPt5Pb crystal.

Calculated values
- calculated total energy (eV per cell) = -169.8
- volume (Å³/cell) = 546.8
- crystal system = orthorhombic

The structure in POSCAR format:
```
NdPt5Pb
1.0
-1.332 -2.097 -4.822
-3.808 -7.070 4.126
-9.746 5.441 0.327
Pt Nd Pb
20 4 4
Direct
0.250 0.461 0.413 Pt
0.997 0.931 0.300 Pt
0.497 0.569 0.800 Pt
0.750 0.539 0.587 Pt
0.250 0.690 0.234 Pt
0.997 0.431 0.200 Pt
0.250 0.190 0.266 Pt
0.250 0.573 0.011 Pt
0.750 0.927 0.511 Pt
0.003 0.569 0.800 Pt
0.750 0.310 0.766 Pt
0.750 0.427 0.989 Pt
0.750 0.039 0.913 Pt
0.503 0.431 0.200 Pt
0.750 0.810 0.734 Pt
0.003 0.069 0.700 Pt
0.503 0.931 0.300 Pt
0.497 0.069 0.700 Pt
0.250 0.961 0.087 Pt
0.250 0.073 0.489 Pt
0.750 0.248 0.435 Nd
0.250 0.252 0.935 Nd
0.250 0.752 0.565 Nd
0.750 0.748 0.065 Nd
0.250 0.354 0.639 Pb
0.250 0.854 0.861 Pb
0.750 0.646 0.361 Pb
0.750 0.146 0.139 Pb
```